# Tc2SbRh

Tc2SbRh after structural relaxation (PBE, Alexandria via LeMat-Bulk).

abc: 5.363 5.363 5.363
angles: 145.95 131.12 60.91
Atoms (fractional coordinates):
Tc 0.227 0.227 0.000
Tc 0.773 0.773 0.000
Sb 0.000 0.500 0.500
Rh 0.500 0.000 0.500

* VASP energy: -7.85 eV per atom
* formation energy without anion corrections: 4.6 kcal/mol of atoms
* space group: Immm (71)
* density of states at the Fermi level: 5.025 states/eV per cell
* volume: 16.10 A^3/atom

***

# TcSbRh2

TcSbRh2 after structural relaxation (PBE, Alexandria via LeMat-Bulk).

abc: 5.356 5.356 5.356
angles: 146.88 129.41 61.81
Atoms (fractional coordinates):
Tc 0.000 0.000 0.000
Sb 0.764 0.264 0.500
Rh 0.261 0.761 0.500
Rh 0.538 0.538 0.000

* VASP energy: -7.21 eV per atom
* formation energy without anion corrections: 2.0 kcal/mol of atoms
* space group: Imm2 (44)
* density of states at the Fermi level: 4.910 states/eV per cell
* volume: 16.06 A^3/atom